#i
Density functional theory data (PBE-GGA) for ZnTeAu after structural relaxation.

Lattice parameters (Å, degrees): 6.5572 6.5572 6.5572 154.44 146.39 42.69
Last column: nearest neighbours and their distance in Å.
Fractional positions:
Au 0.0344 0.0344 0.0000  4 Zn 2.70, 2 Au 2.90
Zn 0.6370 0.6370 0.0000  4 Au 2.70, 2 Zn 2.90
Te 0.3286 0.3286 0.0000  2 Te 2.90

Volume ... 67.2 Å³/f.u.
Space group ... No. 44
Total moment ... 0.000 μB/f.u.

=====

#ii
Density functional theory data (PBE-GGA) for ZnTeAu after structural relaxation.

Lattice parameters (Å, degrees): 6.7671 6.5790 3.2543 79.12 72.70 28.18
Last column: nearest neighbours and their distance in Å.
Fractional positions:
Au 0.0222 0.0222 0.9778  2 Zn 2.58
Zn 0.6509 0.6509 0.3491  2 Au 2.58
Te 0.3269 0.3269 0.6731  2 Zn 2.98, 2 Au 3.17, 4 Te 3.25

Volume ... 64.5 Å³/f.u.
Space group ... No. 42
Total moment ... 0.000 μB/f.u.

=====

#iii
Density functional theory data (PBE-GGA) for ZnTeAu after structural relaxation.

Lattice parameters (Å, degrees): 4.2197 4.2197 4.3307 90.00 90.00 120.00
Last column: nearest neighbours and their distance in Å.
Fractional positions:
Te 0.6667 0.3333 0.3437  3 Zn 2.86, 3 Au 2.94
Zn 0.3333 0.6667 0.6916  3 Au 2.71, 3 Te 2.86
Au 0.0000 0.0000 0.9646  3 Zn 2.71, 3 Te 2.94

Volume ... 66.8 Å³/f.u.
Space group ... No. 156
Total moment ... 0.000 μB/f.u.

=====

Most stable structure: #iii

=====

#i
Density functional theory data (PBE-GGA) for Zn2TeAu2 after structural relaxation.

Lattice parameters (Å, degrees): 3.9229 3.9229 7.1095 73.98 73.98 90.00
Last column: nearest neighbours and their distance in Å.
Fractional positions:
Te 0.0000 0.0000 0.0000  8 Zn 3.07
Zn 0.3989 0.3989 0.2022  1 Zn 2.65, 4 Au 2.77
Au 0.7500 0.2500 0.5000  4 Zn 2.77, 4 Au 2.77
Au 0.2500 0.7500 0.5000  4 Zn 2.77, 4 Au 2.77
Zn 0.6011 0.6011 0.7978  1 Zn 2.65, 4 Au 2.77

Volume ... 100.7 Å³/f.u.
Space group ... No. 139
Total moment ... 0.000 μB/f.u.

=====

#ii
Density functional theory data (PBE-GGA) for Zn2TeAu2 after structural relaxation.

Lattice parameters (Å, degrees): 7.9494 7.9494 3.0521 90.00 90.00 90.00
Last column: nearest neighbours and their distance in Å.
Fractional positions:
Zn 0.3315 0.8315 0.0000  6 Au 2.75-2.82, 2 Te 2.96, 2 Zn 3.05
Zn 0.8315 0.6685 0.0000  6 Au 2.75-2.82, 2 Te 2.96, 2 Zn 3.05
Te 0.0000 0.0000 0.0000  4 Zn 2.96, 2 Te 3.05
Au 0.1275 0.6275 0.5000  6 Zn 2.75-2.82, 3 Au 2.87-3.05
Au 0.6275 0.8725 0.5000  6 Zn 2.75-2.82, 3 Au 2.87-3.05
Zn 0.1685 0.3315 0.0000  6 Au 2.75-2.82, 2 Te 2.96, 2 Zn 3.05
Zn 0.6685 0.1685 0.0000  6 Au 2.75-2.82, 2 Te 2.96, 2 Zn 3.05
Te 0.5000 0.5000 0.0000  4 Zn 2.96, 2 Te 3.05
Au 0.8725 0.3725 0.5000  6 Zn 2.75-2.82, 3 Au 2.87-3.05
Au 0.3725 0.1275 0.5000  6 Zn 2.75-2.82, 3 Au 2.87-3.05

Volume ... 96.4 Å³/f.u.
Space group ... No. 127
Total moment ... 0.000 μB/f.u.

=====

Most stable structure: #i

=====

#i
Density functional theory data (PBE-GGA) for Zn2TeAu2 after structural relaxation.

Lattice parameters (Å, degrees): 7.8924 7.8924 3.0659 90.00 90.00 90.00
Last column: nearest neighbours and their distance in Å.
Fractional positions:
Au 0.6504 0.1504 0.0000  6 Zn 2.77, 2 Te 3.00, 2 Au 3.07
Zn 0.6423 0.8577 0.5000  6 Au 2.77, 2 Zn 3.07
Zn 0.1423 0.6423 0.5000  6 Au 2.77, 2 Zn 3.07
Zn 0.3577 0.1423 0.5000  6 Au 2.77, 2 Zn 3.07
Au 0.8496 0.6504 0.0000  6 Zn 2.77, 2 Te 3.00, 2 Au 3.07
Au 0.1504 0.3496 0.0000  6 Zn 2.77, 2 Te 3.00, 2 Au 3.07
Te 0.0000 0.0000 0.0000  4 Au 3.00, 2 Te 3.07
Au 0.3496 0.8496 0.0000  6 Zn 2.77, 2 Te 3.00, 2 Au 3.07
Zn 0.8577 0.3577 0.5000  6 Au 2.77, 2 Zn 3.07
Te 0.5000 0.5000 0.0000  4 Au 3.00, 2 Te 3.07

Volume ... 95.5 Å³/f.u.
Space group ... No. 127
Total moment ... 0.000 μB/f.u.

=====

#ii
Density functional theory data (PBE-GGA) for Zn2TeAu2 after structural relaxation.

Lattice parameters (Å, degrees): 7.0230 7.0230 7.0230 147.63 147.63 46.43
Last column: nearest neighbours and their distance in Å.
Fractional positions:
Zn 0.2500 0.7500 0.5000  4 Au 2.65, 4 Zn 2.77
Zn 0.7500 0.2500 0.5000  4 Au 2.65, 4 Zn 2.77
Au 0.3882 0.3882 0.0000  4 Zn 2.65, 1 Au 2.89
Au 0.6118 0.6118 0.0000  4 Zn 2.65, 1 Au 2.89
Te 0.0000 0.0000 0.0000  8 Au 3.12

Volume ... 98.9 Å³/f.u.
Space group ... No. 139
Total moment ... 0.000 μB/f.u.

=====

Most stable structure: #ii

=====

#i
Density functional theory data (PBE-GGA) for ZrTe2Au2 after structural relaxation.

Lattice parameters (Å, degrees): 3.7782 3.7782 9.0064 77.89 77.89 90.00
Last column: nearest neighbours and their distance in Å.
Fractional positions:
Te 0.4073 0.4073 0.1853  4 Zr 3.11, 1 Te 3.19, 4 Au 3.30
Zr 0.0000 0.0000 0.0000  8 Te 3.11
Te 0.5927 0.5927 0.8147  4 Zr 3.11, 1 Te 3.19, 4 Au 3.30
Au 0.7500 0.2500 0.5000  4 Au 2.67
Au 0.2500 0.7500 0.5000  4 Au 2.67

Volume ... 122.8 Å³/f.u.
Space group ... No. 139
Total moment ... 0.000 μB/f.u.

=====

#ii
Density functional theory data (PBE-GGA) for ZrTe2Au2 after structural relaxation.

Lattice parameters (Å, degrees): 7.7032 7.7032 3.9842 90.00 90.00 90.00
Last column: nearest neighbours and their distance in Å.
Fractional positions:
Zr 0.5000 0.5000 0.0000  4 Te 2.87
Te 0.6673 0.1673 0.0000  2 Zr 2.87, 6 Au 2.88-3.11
Te 0.8327 0.6673 0.0000  2 Zr 2.87, 6 Au 2.88-3.11
Au 0.3577 0.1423 0.5000  6 Te 2.88-3.11, 1 Au 3.10
Au 0.8577 0.3577 0.5000  6 Te 2.88-3.11, 1 Au 3.10
Au 0.1423 0.6423 0.5000  6 Te 2.88-3.11, 1 Au 3.10
Au 0.6423 0.8577 0.5000  6 Te 2.88-3.11, 1 Au 3.10
Te 0.1673 0.3327 0.0000  2 Zr 2.87, 6 Au 2.88-3.11
Zr 0.0000 0.0000 0.0000  4 Te 2.87
Te 0.3327 0.8327 0.0000  2 Zr 2.87, 6 Au 2.88-3.11

Volume ... 118.2 Å³/f.u.
Space group ... No. 127
Total moment ... 0.000 μB/f.u.

=====

Most stable structure: #i

=====

#i
Density functional theory data (PBE-GGA) for ZrTe4Au after structural relaxation.

Lattice parameters (Å, degrees): 7.2899 6.9726 6.9445 90.00 93.73 90.00
Last column: nearest neighbours and their distance in Å.
Fractional positions:
Te 0.8877 0.1241 0.3778  2 Au 2.86-3.13, 1 Te 2.86, 1 Zr 2.93
Au 0.5000 0.0000 0.5000  6 Te 2.86-3.13
Au 0.0000 0.5000 0.5000  6 Te 2.86-3.13
Te 0.3877 0.3759 0.3778  2 Au 2.86-3.13, 1 Te 2.86, 1 Zr 2.93
Te 0.6369 0.1351 0.8794  2 Zr 2.88, 1 Au 2.91
Te 0.1123 0.8759 0.6222  2 Au 2.86-3.13, 1 Te 2.86, 1 Zr 2.93
Zr 0.5000 0.5000 0.0000  6 Te 2.88-2.93
Te 0.6123 0.6241 0.6222  2 Au 2.86-3.13, 1 Te 2.86, 1 Zr 2.93
Zr 0.0000 0.0000 0.0000  6 Te 2.88-2.93
Te 0.3631 0.8649 0.1206  2 Zr 2.88, 1 Au 2.91
Te 0.8631 0.6351 0.1206  2 Zr 2.88, 1 Au 2.91
Te 0.1369 0.3649 0.8794  2 Zr 2.88, 1 Au 2.91

Volume ... 176.1 Å³/f.u.
Space group ... No. 14
Total moment ... 0.000 μB/f.u.

=====

#ii
Density functional theory data (PBE-GGA) for ZrTe4Au after structural relaxation.

Lattice parameters (Å, degrees): 6.1877 6.1877 6.1877 60.00 60.00 60.00
Last column: nearest neighbours and their distance in Å.
Fractional positions:
Te 0.3750 0.8750 0.3750  6 Te 3.09
Te 0.8750 0.3750 0.3750  6 Te 3.09
Au 0.0000 0.0000 0.0000  12 Te 3.63, 4 Zr 3.79
Te 0.3750 0.3750 0.3750  6 Te 3.09
Zr 0.7500 0.7500 0.7500  12 Te 3.63, 4 Au 3.79
Te 0.3750 0.3750 0.8750  6 Te 3.09

Volume ... 167.5 Å³/f.u.
Space group ... No. 216
Total moment ... 1.115 μB/f.u.

=====

Most stable structure: #i

=====

#i
Density functional theory data (PBE-GGA) for ZrTe3Au after structural relaxation.

Lattice parameters (Å, degrees): 5.7236 7.1160 13.9690 90.00 83.97 90.00
Last column: nearest neighbours and their distance in Å.
Fractional positions:
Te 0.6299 0.5137 0.7362  1 Au 2.75, 3 Zr 2.94-3.06
Te 0.1802 0.6639 0.5958  1 Au 2.87, 2 Zr 2.88-3.03
Zr 0.1212 0.3744 0.7560  7 Te 2.88-3.06, 1 Au 3.21
Au 0.6957 0.4242 0.9227  4 Te 2.75-3.02
Te 0.1265 0.6727 0.9090  2 Au 2.75-3.02, 2 Zr 2.96-3.01
Au 0.1957 0.0758 0.4227  4 Te 2.75-3.02
Zr 0.6212 0.1256 0.2560  7 Te 2.88-3.06, 1 Au 3.21
Te 0.8701 0.0137 0.7638  1 Au 2.75, 3 Zr 2.94-3.06
Au 0.8043 0.9242 0.5773  4 Te 2.75-3.02
Te 0.3701 0.4863 0.2638  1 Au 2.75, 3 Zr 2.94-3.06
Zr 0.8788 0.6256 0.2440  7 Te 2.88-3.06, 1 Au 3.21
Te 0.8198 0.3361 0.4042  1 Au 2.87, 2 Zr 2.88-3.03
Te 0.3735 0.1727 0.5910  2 Au 2.75-3.02, 2 Zr 2.96-3.01
Te 0.6265 0.8273 0.4090  2 Au 2.75-3.02, 2 Zr 2.96-3.01
Zr 0.3788 0.8744 0.7440  7 Te 2.88-3.06, 1 Au 3.21
Te 0.8735 0.3273 0.0910  2 Au 2.75-3.02, 2 Zr 2.96-3.01
Au 0.3043 0.5758 0.0773  4 Te 2.75-3.02
Te 0.3198 0.1639 0.9042  1 Au 2.87, 2 Zr 2.88-3.03
Te 0.1299 0.9863 0.2362  1 Au 2.75, 3 Zr 2.94-3.06
Te 0.6802 0.8361 0.0958  1 Au 2.87, 2 Zr 2.88-3.03

Volume ... 141.4 Å³/f.u.
Space group ... No. 14
Total moment ... 0.000 μB/f.u.

=====

#ii
Density functional theory data (PBE-GGA) for ZrTe3Au after structural relaxation.

Lattice parameters (Å, degrees): 5.3484 5.3484 5.3484 90.00 90.00 90.00
Last column: nearest neighbours and their distance in Å.
Fractional positions:
Te 0.5000 0.0000 0.0000  2 Au 2.67
Zr 0.5000 0.5000 0.5000  12 Te 3.78
Te 0.0000 0.0000 0.5000  2 Au 2.67
Au 0.0000 0.0000 0.0000  6 Te 2.67
Te 0.0000 0.5000 0.0000  2 Au 2.67

Volume ... 153.0 Å³/f.u.
Space group ... No. 221
Total moment ... 0.784 μB/f.u.

=====

#iii
Density functional theory data (PBE-GGA) for ZrTe3Au after structural relaxation.

Lattice parameters (Å, degrees): 5.5600 5.5600 5.5600 90.00 90.00 90.00
Last column: nearest neighbours and their distance in Å.
Fractional positions:
Te 0.5000 0.0000 0.0000  2 Zr 2.78
Te 0.0000 0.5000 0.0000  2 Zr 2.78
Zr 0.0000 0.0000 0.0000  6 Te 2.78
Au 0.5000 0.5000 0.5000  12 Te 3.93
Te 0.0000 0.0000 0.5000  2 Zr 2.78

Volume ... 171.9 Å³/f.u.
Space group ... No. 221
Total moment ... 0.000 μB/f.u.

=====

Most stable structure: #i